Entry 1:
A plane-wave DFT calculation with PBE was carried out for a geometry-optimized Fe2RhSe structure.

```
Fe2RhSe
1.0
-0.483 0.200 -4.852
-0.129 -4.305 -2.295
-2.277 1.994 3.828
Se Rh Fe
1 1 2
direct
0.750 0.250 0.500
0.250 0.750 0.500
0.000 0.000 0.000
0.500 0.500 0.000
```

Output
uncorrected formation energy: 153.2 meV/atom
symmetry: I4/mmm, No. 139

Entry 2:
A plane-wave DFT calculation with PBE was carried out for a geometry-optimized NdHfZn2 structure.

```
NdHfZn2
1.0
-1.219 3.195 -0.025
-1.947 1.107 2.584
6.281 4.267 5.169
Zn Hf Nd
2 1 1
direct
0.742 0.742 0.773
0.258 0.258 0.227
0.000 0.000 0.000
0.500 0.500 0.500
```

Output
energy relative to the elements: 0.03 eV per atom
polymorph energy (0 for the lowest one): 0.228 eV per atom
symmetry: R-3m, No. 166

Entry 3:
A plane-wave DFT calculation with PBE was carried out for a geometry-optimized KInW2 structure.

```
KInW2
1.0
5.816 -0.007 0.000
3.014 4.974 0.000
-4.415 -2.483 2.858
W In K
2 1 1
direct
0.000 0.000 0.000
0.500 0.500 0.000
0.250 0.750 0.500
0.750 0.250 0.500
```

Output
energy relative to the elements: 1.61 eV per atom
symmetry: I4/mmm, No. 139

Entry 4:
A plane-wave DFT calculation with PBE was carried out for a geometry-optimized Nd9ErTm2 structure.

```
Nd9ErTm2
1.0
-3.561 2.353 2.858
-2.679 -4.375 0.264
7.664 -3.923 12.783
Nd Tm Er
9 2 1
direct
0.500 0.500 0.666
0.500 0.500 0.000
0.500 0.000 0.500
0.000 0.500 0.167
0.500 0.500 0.334
0.500 0.000 0.167
0.000 0.500 0.833
0.000 0.500 0.500
0.500 0.000 0.833
0.000 0.000 0.333
0.000 0.000 0.667
0.000 0.000 0.000
```

Output
energy relative to the elements: 0.01 eV per atom
symmetry: P4/mmm, No. 123

Entry 5:
A plane-wave DFT calculation with PBE was carried out for a geometry-optimized RuPtRhC2 structure.

```
RuPtRhC2
1.0
3.835 0.000 0.000
0.000 5.364 0.000
0.000 0.000 3.835
Rh Ru C Pt
1 1 2 1
direct
0.000 0.500 0.000
0.500 0.500 0.500
0.500 0.000 0.000
0.000 0.000 0.500
0.000 0.000 0.000
```

Output
energy relative to the elements: 2.08 eV per atom
symmetry: P4/mmm, No. 123

Entry 6:
A plane-wave DFT calculation with PBE was carried out for a geometry-optimized SmYTl3 structure.

```
SmYTl3
1.0
-3.035 -5.345 -2.222
6.311 -3.807 0.539
-4.654 0.259 5.735
Tl Y Sm
6 2 2
direct
0.750 0.200 0.800
0.250 0.800 0.200
0.250 0.800 0.601
0.750 0.601 0.800
0.250 0.399 0.200
0.750 0.200 0.399
0.000 0.000 0.000
0.500 0.000 0.000
0.250 0.333 0.667
0.750 0.667 0.333
```

Output
energy relative to the elements: -0.09 eV per atom
symmetry: P6_3/mmc, No. 194

| no. | calculated total energy (eV/cell) |
| --- | --- |
| 1 | -27.15 |
| 2 | -17.17 |
| 3 | -23.32 |
| 4 | -56.24 |
| 5 | -30.73 |
| 6 | -37.47 |